<i>
This record from Alexandria describes a relaxed Cs2CuIO crystal. The functional is GGA-PBE.

a b c (Å): 4.3352 8.0317 10.8060
angles (deg): 111.53 90.00 90.00
Last column: nearest neighbours and their distance in Å.
Element x y z (fractional)
Cu: 0.7500 0.4441 0.2383  1 O 1.84
Cs: 0.7500 0.8048 0.0272  3 O 2.97-3.04
O: 0.7500 0.1983 0.1712  1 Cu 1.84
O: 0.2500 0.8017 0.8288  1 Cu 1.84
I: 0.2500 0.6607 0.2989  2 Cu 2.71
I: 0.7500 0.3393 0.7011  2 Cu 2.71
Cs: 0.2500 0.1892 0.3558  2 O 2.96
Cs: 0.2500 0.1952 0.9728  3 O 2.97-3.04
Cs: 0.7500 0.8108 0.6442  2 O 2.96
Cu: 0.2500 0.5559 0.7617  1 O 1.84

<ii>
This record from Alexandria describes a relaxed Cs2CuIO crystal. The functional is GGA-PBE.

a b c (Å): 6.5725 6.5725 3.7769
angles (deg): 90.00 90.00 90.00
Last column: nearest neighbours and their distance in Å.
Element x y z (fractional)
Cu: 0.0000 0.0000 0.5000  2 O 1.89
Cs: 0.0000 0.5000 0.0000  2 O 3.29
O: 0.0000 0.0000 0.0000  2 Cu 1.89
Cs: 0.5000 0.0000 0.0000  2 O 3.29
I: 0.5000 0.5000 0.5000  2 I 3.78, 8 Cs 3.79

<ii> has the most favorable energy; the next structure is 63 meV/atom above.

<i>
This record from Alexandria describes a relaxed Cs2CuPbI6 crystal. The functional is GGA-PBE.

a b c (Å): 6.2066 6.2066 11.6224
angles (deg): 90.00 90.00 90.00
Last column: nearest neighbours and their distance in Å.
Element x y z (fractional)
I: 0.5000 0.5000 0.2747  1 Cu 2.62
I: 0.5000 0.5000 0.7253  1 Cu 2.62
I: 0.0000 0.5000 0.5000  2 Cu 3.10
I: 0.5000 0.0000 0.0000  2 Pb 3.10
Cs: 0.0000 0.0000 0.7268  12 I 4.07-4.44
Cu: 0.5000 0.5000 0.5000  2 I 2.62
Pb: 0.5000 0.5000 0.0000  6 I 3.10-3.19
I: 0.0000 0.5000 0.0000  2 Pb 3.10
Cs: 0.0000 0.0000 0.2732  12 I 4.07-4.44
I: 0.5000 0.0000 0.5000  2 Cu 3.10

Results
Density of states at the Fermi level ... 6.1 states/eV/f.u.

<ii>
This record from Alexandria describes a relaxed Cs2CuPbI6 crystal. The functional is GGA-PBE.

a b c (Å): 8.4638 8.4638 8.4717
angles (deg): 60.03 60.03 90.00
Last column: nearest neighbours and their distance in Å.
Element x y z (fractional)
Pb: 0.0000 0.0000 0.0000  6 I 3.16
I: 0.2638 0.7362 0.0000  1 Cu 2.83, 1 Pb 3.16
I: 0.7362 0.2638 0.0000  1 Cu 2.83, 1 Pb 3.16
I: 0.7369 0.7369 0.5262  1 Cu 2.84, 1 Pb 3.16
Cs: 0.7500 0.2500 0.5000  12 I 4.23-4.24
Cs: 0.2500 0.7500 0.5000  12 I 4.23-4.24
I: 0.2638 0.2638 0.0000  1 Cu 2.83, 1 Pb 3.16
Cu: 0.5000 0.5000 0.0000  6 I 2.83-2.84
I: 0.7362 0.7362 0.0000  1 Cu 2.83, 1 Pb 3.16
I: 0.2631 0.2631 0.4738  1 Cu 2.84, 1 Pb 3.16

Results
Density of states at the Fermi level ... 3.9 states/eV/f.u.

<ii> has the most favorable energy; the next structure is 21 meV/atom above.

<i>
This record from Alexandria describes a relaxed Cs2ScCuI6 crystal. The functional is GGA-PBE.

a b c (Å): 8.3147 8.3147 14.4258
angles (deg): 73.25 73.25 60.00
Last column: nearest neighbours and their distance in Å.
Element x y z (fractional)
Cs: 0.2933 0.2933 0.1202  12 I 4.09-4.24
I: 0.2078 0.7080 0.8764  1 Cu 2.93, 1 Sc 2.95
I: 0.6198 0.1341 0.6263  1 Sc 2.88, 1 Cu 2.90
Cu: 0.5000 0.5000 0.5000  6 I 2.90
I: 0.7080 0.2078 0.8764  1 Cu 2.93, 1 Sc 2.95
I: 0.7922 0.2920 0.1236  1 Cu 2.93, 1 Sc 2.95
Cs: 0.7067 0.7067 0.8798  12 I 4.09-4.24
I: 0.2920 0.7922 0.1236  1 Cu 2.93, 1 Sc 2.95
I: 0.1341 0.6198 0.6263  1 Sc 2.88, 1 Cu 2.90
I: 0.6198 0.6198 0.6263  1 Sc 2.88, 1 Cu 2.90
I: 0.8659 0.3802 0.3737  1 Sc 2.88, 1 Cu 2.90
I: 0.3802 0.3802 0.3737  1 Sc 2.88, 1 Cu 2.90
I: 0.2078 0.2078 0.8764  1 Cu 2.93, 1 Sc 2.95
I: 0.7922 0.7922 0.1236  1 Cu 2.93, 1 Sc 2.95
Cu: 0.0000 0.0000 0.0000  6 I 2.93
Sc: 0.5835 0.5835 0.2494  6 I 2.88-2.95
Cs: 0.1215 0.1215 0.6355  12 I 4.06-4.33
I: 0.3802 0.8659 0.3737  1 Sc 2.88, 1 Cu 2.90
Sc: 0.4165 0.4165 0.7506  6 I 2.88-2.95
Cs: 0.8785 0.8785 0.3645  12 I 4.06-4.33

<ii>
This record from Alexandria describes a relaxed Cs2ScCuI6 crystal. The functional is GGA-PBE.

a b c (Å): 8.2665 8.2665 8.2529
angles (deg): 59.95 59.95 90.00
Last column: nearest neighbours and their distance in Å.
Element x y z (fractional)
Sc: 0.5000 0.5000 0.0000  6 I 2.92-2.93
I: 0.2500 0.2500 0.0000  1 Cu 2.92, 1 Sc 2.92
I: 0.7510 0.7510 0.4979  1 Cu 2.90, 1 Sc 2.93
Cu: 0.0000 0.0000 0.0000  6 I 2.90-2.92
Cs: 0.7500 0.2500 0.5000  12 I 4.13
I: 0.7500 0.7500 0.0000  1 Cu 2.92, 1 Sc 2.92
I: 0.2490 0.2490 0.5021  1 Cu 2.90, 1 Sc 2.93
I: 0.7500 0.2500 0.0000  1 Cu 2.92, 1 Sc 2.92
Cs: 0.2500 0.7500 0.5000  12 I 4.13
I: 0.2500 0.7500 0.0000  1 Cu 2.92, 1 Sc 2.92

Results
Density of states at the Fermi level ... 0.0 states/eV/f.u.

<i> has the most favorable energy; the next structure is 25 meV/atom above.

<i>
This record from Alexandria describes a relaxed CsCuTe2I crystal. The functional is GGA-PBE.

a b c (Å): 5.1897 5.1897 6.8813
angles (deg): 90.00 90.00 90.00
Last column: nearest neighbours and their distance in Å.
Element x y z (fractional)
Te: 0.0000 0.5000 0.0000  2 Cu 2.59
Te: 0.5000 0.0000 0.0000  2 Cu 2.59
Cu: 0.0000 0.0000 0.0000  4 Te 2.59
Cs: 0.5000 0.5000 0.5000  4 I 3.67
I: 0.0000 0.0000 0.5000  2 Cu 3.44, 4 Cs 3.67

Results
Density of states at the Fermi level ... 7.6 states/eV/f.u.

<ii>
This record from Alexandria describes a relaxed CsCuTe2I crystal. The functional is GGA-PBE.

a b c (Å): 6.4119 6.4119 7.0817
angles (deg): 90.00 90.00 90.00
Last column: nearest neighbours and their distance in Å.
Element x y z (fractional)
I: 0.0000 0.0000 0.5000  2 Cs 3.54
Cs: 0.0000 0.0000 0.0000  4 Te 3.21, 2 I 3.54
Cu: 0.5000 0.5000 0.5000  4 I 4.53, 8 Te 4.78
Te: 0.0000 0.5000 0.0000  2 Cs 3.21
Te: 0.5000 0.0000 0.0000  2 Cs 3.21

Results
Density of states at the Fermi level ... 8.9 states/eV/f.u.

<i> has the most favorable energy; the next structure is 1349 meV/atom above.

<i>
This record from Alexandria describes a relaxed Cs2CuTeI6 crystal. The functional is GGA-PBE.

a b c (Å): 8.4563 8.4563 15.0165
angles (deg): 73.65 73.65 60.00
Last column: nearest neighbours and their distance in Å.
Element x y z (fractional)
I: 0.6243 0.6243 0.6241  1 Te 3.00, 1 Cu 3.19
I: 0.3095 0.7803 0.1300  1 Cu 2.70
Te: 0.0000 0.0000 0.0000  6 I 3.18
Te: 0.5000 0.5000 0.5000  6 I 3.00
I: 0.3757 0.8728 0.3759  1 Te 3.00, 1 Cu 3.19
I: 0.7803 0.3095 0.1300  1 Cu 2.70
I: 0.2197 0.6905 0.8700  1 Cu 2.70
I: 0.6243 0.1272 0.6241  1 Te 3.00, 1 Cu 3.19
I: 0.1272 0.6243 0.6241  1 Te 3.00, 1 Cu 3.19
I: 0.3757 0.3757 0.3759  1 Te 3.00, 1 Cu 3.19
I: 0.8728 0.3757 0.3759  1 Te 3.00, 1 Cu 3.19
I: 0.7803 0.7803 0.1300  1 Cu 2.70
I: 0.2197 0.2197 0.8700  1 Cu 2.70
Cu: 0.5901 0.5901 0.2298  3 I 2.70
I: 0.6905 0.2197 0.8700  1 Cu 2.70
Cs: 0.8815 0.8815 0.3556  12 I 4.12-4.54
Cu: 0.4099 0.4099 0.7702  3 I 2.70
Cs: 0.1185 0.1185 0.6444  12 I 4.12-4.54
Cs: 0.2997 0.2997 0.1008  9 I 4.00-4.25
Cs: 0.7003 0.7003 0.8992  9 I 4.00-4.25

Results
Density of states at the Fermi level ... 3.1 states/eV/f.u.

<ii>
This record from Alexandria describes a relaxed Cs2CuTeI6 crystal. The functional is GGA-PBE.

a b c (Å): 8.3199 8.3199 8.5272
angles (deg): 60.80 60.80 90.00
Last column: nearest neighbours and their distance in Å.
Element x y z (fractional)
I: 0.2689 0.7311 0.0000  1 Cu 2.72
I: 0.2422 0.2422 0.5155  1 Te 2.99, 1 Cu 3.18
Cu: 0.5000 0.5000 0.0000  4 I 2.72
I: 0.7311 0.2689 0.0000  1 Cu 2.72
Cs: 0.7500 0.2500 0.5000  12 I 4.16-4.27
I: 0.7578 0.7578 0.4845  1 Te 2.99, 1 Cu 3.18
I: 0.2689 0.2689 0.0000  1 Cu 2.72
Cs: 0.2500 0.7500 0.5000  12 I 4.16-4.27
Te: 0.0000 0.0000 0.0000  6 I 2.99-3.16
I: 0.7311 0.7311 0.0000  1 Cu 2.72

Results
Density of states at the Fermi level ... 3.3 states/eV/f.u.

<ii> has the most favorable energy; the next structure is 45 meV/atom above.

<i>
This record from Alexandria describes a relaxed CsInCu3 crystal. The functional is GGA-PBE.

a b c (Å): 5.5547 5.5547 5.5547
angles (deg): 90.00 90.00 90.00
Last column: nearest neighbours and their distance in Å.
Element x y z (fractional)
In: 0.5000 0.5000 0.5000  12 Cu 3.93
Cs: 0.0000 0.0000 0.0000  6 Cu 2.78
Cu: 0.0000 0.0000 0.5000  2 Cs 2.78
Cu: 0.5000 0.0000 0.0000  2 Cs 2.78
Cu: 0.0000 0.5000 0.0000  2 Cs 2.78

Results
Density of states at the Fermi level ... 6.4 states/eV/f.u.

<ii>
This record from Alexandria describes a relaxed CsInCu3 crystal. The functional is GGA-PBE.

a b c (Å): 5.1711 5.1711 5.1711
angles (deg): 90.00 90.00 90.00
Last column: nearest neighbours and their distance in Å.
Element x y z (fractional)
Cu: 0.5000 0.0000 0.0000  2 In 2.59
In: 0.0000 0.0000 0.0000  6 Cu 2.59
Cu: 0.0000 0.5000 0.0000  2 In 2.59
Cs: 0.5000 0.5000 0.5000  12 Cu 3.66
Cu: 0.0000 0.0000 0.5000  2 In 2.59

Results
Density of states at the Fermi level ... 1.8 states/eV/f.u.

<ii> has the most favorable energy; the next structure is 1115 meV/atom above.